# 1
LiAc4Pb5 after structural relaxation. Source: Alexandria, functional PBE-GGA.

Cell lengths 3.8938, 3.8938, 21.8102 Å; angles 90.00, 90.00, 90.00 degrees
Closest atoms and distances in Å follow each position.
Atoms (fractional coordinates):
Li: 0.0000 0.0000 0.0000  8 Pb 3.18
Pb: 0.5000 0.5000 0.7137  8 Ac 3.59-3.61, 4 Pb 3.89
Pb: 0.5000 0.5000 0.5000  8 Ac 3.61, 4 Pb 3.89
Pb: 0.5000 0.5000 0.0728  1 Pb 3.17, 4 Li 3.18
Pb: 0.5000 0.5000 0.9272  1 Pb 3.17, 4 Li 3.18
Pb: 0.5000 0.5000 0.2863  8 Ac 3.59-3.61, 4 Pb 3.89
Ac: 0.0000 0.0000 0.8196  8 Pb 3.59-3.62, 4 Ac 3.89, 1 Li 3.93
Ac: 0.0000 0.0000 0.6069  8 Pb 3.61, 4 Ac 3.89
Ac: 0.0000 0.0000 0.3931  8 Pb 3.61, 4 Ac 3.89
Ac: 0.0000 0.0000 0.1804  8 Pb 3.59-3.62, 4 Ac 3.89, 1 Li 3.93

V   330.7 Å³ per cell
Total magnetic moment   0.000 μB/atom
Energy   -41.141 eV for the cell shown
DFT formation energy   -0.4251 eV/atom
Space-group type   P4/mmm, No. 123
Density of states at the Fermi level   0.819 states/eV/atom


# 2
LiAc2Pb after structural relaxation. Source: Alexandria, functional PBE-GGA.

Cell lengths 5.7943, 5.7943, 5.7943 Å; angles 60.00, 60.00, 60.00 degrees
Closest atoms and distances in Å follow each position.
Atoms (fractional coordinates):
Ac: 0.0000 0.0000 0.0000  4 Pb 3.55, 4 Li 3.55
Ac: 0.5000 0.5000 0.5000  4 Li 3.55, 4 Pb 3.55
Pb: 0.2500 0.2500 0.2500  8 Ac 3.55
Li: 0.7500 0.7500 0.7500  8 Ac 3.55

V   137.6 Å³ per cell
Total magnetic moment   0.000 μB/atom
Energy   -14.927 eV for the cell shown
DFT formation energy   -0.2719 eV/atom
Space-group type   Fm-3m, No. 225
Density of states at the Fermi level   0.937 states/eV/atom


# 3
LiAc2Pb after structural relaxation. Source: Alexandria, functional PBE-GGA.

Cell lengths 4.5846, 5.4769, 5.4769 Å; angles 90.00, 90.00, 90.00 degrees
Closest atoms and distances in Å follow each position.
Atoms (fractional coordinates):
Li: 0.5000 0.0000 0.0000  8 Ac 3.57, 4 Pb 3.87
Pb: 0.5000 0.5000 0.5000  8 Ac 3.57, 4 Li 3.87
Ac: 0.0000 0.0000 0.5000  4 Pb 3.57, 4 Li 3.57, 4 Ac 3.87
Ac: 0.0000 0.5000 0.0000  4 Pb 3.57, 4 Li 3.57, 4 Ac 3.87

V   137.5 Å³ per cell
Total magnetic moment   0.000 μB/atom
Energy   -14.953 eV for the cell shown
DFT formation energy   -0.2785 eV/atom
Space-group type   P4/mmm, No. 123
Density of states at the Fermi level   1.068 states/eV/atom


# 4
LiAc4Pb2 after structural relaxation. Source: Alexandria, functional PBE-GGA.

Cell lengths 5.4005, 5.4005, 9.9129 Å; angles 105.81, 105.81, 90.00 degrees
Closest atoms and distances in Å follow each position.
Atoms (fractional coordinates):
Pb: 0.6343 0.6343 0.2685  5 Ac 3.38-3.65
Pb: 0.3657 0.3657 0.7315  5 Ac 3.38-3.65
Ac: 0.1807 0.1807 0.3614  1 Li 3.31, 1 Pb 3.38
Ac: 0.8193 0.8193 0.6386  1 Li 3.31, 1 Pb 3.38
Ac: 0.0000 0.5000 0.0000  2 Li 2.70
Ac: 0.5000 0.0000 0.0000  2 Li 2.70
Li: 0.0000 0.0000 0.0000  4 Ac 2.70

V   266.8 Å³ per cell
ΔE to the lowest computed polymorph   132.5 meV per atom
Total magnetic moment   0.000 μB/atom
Energy   -26.301 eV for the cell shown
DFT formation energy   -0.0767 eV/atom
Space-group type   I4/mmm, No. 139
Density of states at the Fermi level   0.708 states/eV/atom